(1)
First-principles (PBE-GGA) data for a relaxed Cr2TcH crystal, as listed in Alexandria.

Cell: 2.6429 2.6429 22.5551 Å, 90.00 90.00 120.00°
Closest atoms and distances in Å follow each position.
Space group R-3m (No. 166, hexagonal axes)
Symmetry-distinct sites (fractional):
Cr  0.0000  0.0000  0.0721 x6  1 H 1.63
Tc  0.0000  0.0000  0.5000 x3  6 Cr 2.62, 6 Tc 2.64
H  0.0000  0.0000  0.0000 x3  2 Cr 1.63

## Properties
The volume is 11.4 A^3/atom. Its uncorrected energy is -7.68 eV/atom. The crystal system is trigonal. The total moment is 0.00 μB/atom.

(2)
First-principles (PBE-GGA) data for a relaxed Cr3TcH4 crystal, as listed in Alexandria.

Cell: 3.8586 3.8586 3.8586 Å, 90.00 90.00 90.00°
Closest atoms and distances in Å follow each position.
Space group Pm-3m (No. 221)
Symmetry-distinct sites (fractional):
Cr  0.0000  0.0000  0.5000 x3  6 H 1.93
Tc  0.5000  0.5000  0.5000 x1  6 H 1.93
H  0.0000  0.0000  0.0000 x1  6 Cr 1.93
H  0.0000  0.5000  0.5000 x3  4 Cr 1.93, 2 Tc 1.93

## Properties
The volume is 7.2 A^3/atom. Its uncorrected energy is -6.57 eV/atom. The crystal system is cubic. The total moment is 0.18 μB/atom.

(3)
First-principles (PBE-GGA) data for a relaxed CrTc2H crystal, as listed in Alexandria.

Cell: 6.5096 6.5096 4.2819 Å, 90.00 90.00 90.00°
Closest atoms and distances in Å follow each position.
Space group I-42d (No. 122)
Symmetry-distinct sites (fractional):
Cr  0.0000  0.0000  0.0000 x4  2 H 2.14
Tc  0.1423  0.7500  0.6250 x8  2 H 1.95
H  0.0000  0.0000  0.5000 x4  4 Tc 1.95, 2 Cr 2.14

## Properties
The volume is 11.3 A^3/atom. Its uncorrected energy is -8.12 eV/atom. The crystal system is tetragonal. The total moment is 0.00 μB/atom.

(4)
First-principles (PBE-GGA) data for a relaxed CrTcH3 crystal, as listed in Alexandria.

Cell: 3.2897 3.2897 3.2897 Å, 90.00 90.00 90.00°
Closest atoms and distances in Å follow each position.
Space group Pm-3m (No. 221)
Symmetry-distinct sites (fractional):
Cr  0.0000  0.0000  0.0000 x1  6 H 1.64
Tc  0.5000  0.5000  0.5000 x1  12 H 2.33
H  0.0000  0.0000  0.5000 x3  2 Cr 1.64

## Properties
The volume is 7.1 A^3/atom. Its uncorrected energy is -5.62 eV/atom. The crystal system is cubic. The total moment is 0.46 μB/atom.

(5)
First-principles (PBE-GGA) data for a relaxed CrTc2H crystal, as listed in Alexandria.

Cell: 2.7614 2.7614 20.7803 Å, 90.00 90.00 120.00°
Closest atoms and distances in Å follow each position.
Space group R-3m (No. 166, hexagonal axes)
Symmetry-distinct sites (fractional):
Cr  0.0000  0.0000  0.0000 x3  2 Tc 2.27
Tc  0.0000  0.0000  0.1093 x6  3 H 1.99
H  0.0000  0.0000  0.5000 x3  6 Tc 1.99

## Properties
The volume is 11.4 A^3/atom. Its uncorrected energy is -7.93 eV/atom. The crystal system is trigonal. The total moment is 0.10 μB/atom.

(6)
First-principles (PBE-GGA) data for a relaxed CrTc2H crystal, as listed in Alexandria.

Cell: 5.7170 5.7170 5.7170 Å, 90.00 90.00 90.00°
Closest atoms and distances in Å follow each position.
Space group Fm-3m (No. 225)
Symmetry-distinct sites (fractional):
Cr  0.0000  0.0000  0.0000 x4  8 Tc 2.48
Tc  0.2500  0.2500  0.2500 x8  4 Cr 2.48, 4 H 2.48
H  0.0000  0.0000  0.5000 x4  8 Tc 2.48

## Properties
The volume is 11.7 A^3/atom. Its uncorrected energy is -7.85 eV/atom. The crystal system is cubic. The total moment is 0.00 μB/atom.

(7)
First-principles (PBE-GGA) data for a relaxed Cr3TcH crystal, as listed in Alexandria.

Cell: 3.7323 3.7323 3.7323 Å, 90.00 90.00 90.00°
Closest atoms and distances in Å follow each position.
Space group Pm-3m (No. 221)
Symmetry-distinct sites (fractional):
Cr  0.0000  0.0000  0.5000 x3  2 H 1.87
Tc  0.5000  0.5000  0.5000 x1  12 Cr 2.64
H  0.0000  0.0000  0.0000 x1  6 Cr 1.87

## Properties
The volume is 10.4 A^3/atom. Its uncorrected energy is -8.36 eV/atom. The crystal system is cubic. The total moment is 0.00 μB/atom.

(8)
First-principles (PBE-GGA) data for a relaxed Cr2TcH crystal, as listed in Alexandria.

Cell: 5.7292 5.7292 5.7292 Å, 90.00 90.00 90.00°
Closest atoms and distances in Å follow each position.
Space group Fm-3m (No. 225)
Symmetry-distinct sites (fractional):
Cr  0.2500  0.2500  0.2500 x8  4 H 2.48, 4 Tc 2.48
Tc  0.0000  0.0000  0.0000 x4  8 Cr 2.48
H  0.0000  0.0000  0.5000 x4  8 Cr 2.48

## Properties
The volume is 11.8 A^3/atom. Its uncorrected energy is -7.49 eV/atom. The crystal system is cubic. The total moment is 0.85 μB/atom.

> Which of these has the lowest uncorrected energy?

Cr3TcH